Density functional theory data (PBE) for a relaxed NdTiTl2O6 crystal.

Cell lengths 5.7504, 5.7504, 6.0938 Å; angles 61.85, 61.85, 60.01 degrees
Last column: nearest neighbours and their distance in Å.
Atoms (fractional coordinates):
1 O 0.4118 0.6793 0.7847  1 Ti 2.13, 1 Tl 2.22, 1 Nd 2.32
2 O 0.0045 0.5739 0.2420  1 Ti 1.92
3 O 0.1794 0.0046 0.2420  1 Ti 1.92
4 O 0.6794 0.1244 0.7844  1 Ti 2.13, 1 Tl 2.22, 1 Nd 2.32
5 O 0.5741 0.1794 0.2420  1 Ti 1.92
6 O 0.1243 0.4118 0.7845  1 Ti 2.13, 1 Tl 2.22, 1 Nd 2.32
7 Nd 0.8070 0.8070 0.5789  6 O 2.32-2.49
8 Tl 0.0285 0.0285 0.9144  6 O 2.22-2.45
9 Tl 0.5393 0.5394 0.3819  6 O 2.48-2.60
10 Ti 0.3133 0.3133 0.0602  6 O 1.92-2.13

E_form (uncorrected)   -1.95 eV/atom

---

Density functional theory data (PBE) for a relaxed La2HfAsPd crystal.

Cell lengths 5.7377, 4.9137, 5.7377 Å; angles 90.00, 90.00, 90.00 degrees
Last column: nearest neighbours and their distance in Å.
Atoms (fractional coordinates):
1 Pd 0.5000 0.5000 0.5000  8 La 3.78, 4 As 4.06
2 La 0.0000 0.0000 0.5000  2 Hf 2.87
3 La 0.5000 0.0000 0.0000  2 Hf 2.87
4 As 0.0000 0.5000 0.0000  2 Hf 2.46
5 Hf 0.0000 0.0000 0.0000  2 As 2.46

Formation enthalpy at 0 K   292 meV/atom

---

Density functional theory data (PBE) for a relaxed Re2IrRu crystal.

Cell lengths 3.2694, 3.2694, 5.5813 Å; angles 90.00, 90.00, 90.00 degrees
Last column: nearest neighbours and their distance in Å.
Atoms (fractional coordinates):
1 Re 0.5000 0.5000 0.2572  4 Ru 2.70, 2 Ir 2.73-2.85, 4 Re 2.75
2 Re 0.0000 0.0000 0.9898  4 Ir 2.68, 2 Ru 2.70-2.88, 4 Re 2.75
3 Ir 0.5000 0.5000 0.7472  4 Ru 2.68, 6 Re 2.68-2.85
4 Ru 0.0000 0.0000 0.5059  4 Ir 2.68, 6 Re 2.70-2.88

Formation enthalpy at 0 K   323 meV/atom

---

Density functional theory data (PBE) for a relaxed CrPd3Au4 crystal.

Cell lengths 2.7986, 5.4389, 9.6465 Å; angles 72.40, 98.34, 90.00 degrees
Last column: nearest neighbours and their distance in Å.
Atoms (fractional coordinates):
1 Pd 0.0000 0.5000 0.0000  6 Pd 2.80-2.95, 4 Au 2.91, 4 Cr 3.06
2 Pd 0.6195 0.6342 0.2390  1 Cr 2.53, 2 Au 2.70-2.74, 2 Pd 2.80
3 Pd 0.3805 0.3658 0.7610  1 Cr 2.53, 2 Au 2.70-2.74, 2 Pd 2.80
4 Au 0.2427 0.2664 0.4854  7 Au 2.80-2.99, 3 Pd 2.84-2.93
5 Au 0.7573 0.7336 0.5146  7 Au 2.80-2.99, 3 Pd 2.84-2.93
6 Au 0.6216 0.1357 0.2432  1 Cr 2.64, 4 Pd 2.70-2.91, 3 Au 2.80-2.83
7 Au 0.3784 0.8643 0.7568  1 Cr 2.64, 4 Pd 2.70-2.91, 3 Au 2.80-2.83
8 Cr 0.5000 0.0000 0.0000  2 Pd 2.53, 2 Au 2.64, 2 Cr 2.80

Formation enthalpy at 0 K   115 meV/atom

---

Density functional theory data (PBE) for a relaxed NaInF3 crystal.

Cell lengths 4.1352, 4.1352, 4.1352 Å; angles 90.00, 90.00, 90.00 degrees
Last column: nearest neighbours and their distance in Å.
Atoms (fractional coordinates):
1 Na 0.0000 0.0000 0.0000  6 F 2.07
2 F 0.5000 0.0000 0.0000  2 Na 2.07
3 F 0.0000 0.0000 0.5000  2 Na 2.07
4 F 0.0000 0.5000 0.0000  2 Na 2.07
5 In 0.5000 0.5000 0.5000  12 F 2.92

E_form (uncorrected)   -1.91 eV/atom

---

Density functional theory data (PBE) for a relaxed TlIn2CuTe crystal.

Cell lengths 5.1522, 5.1522, 5.2859 Å; angles 90.00, 90.00, 90.00 degrees
Last column: nearest neighbours and their distance in Å.
Atoms (fractional coordinates):
1 In 0.5000 0.0000 0.0000  2 Cu 2.58
2 In 0.0000 0.5000 0.0000  2 Cu 2.58
3 Cu 0.0000 0.0000 0.0000  4 In 2.58, 2 Tl 2.64
4 Te 0.5000 0.5000 0.5000  4 Tl 3.64, 8 In 3.69
5 Tl 0.0000 0.0000 0.5000  2 Cu 2.64

E_form (uncorrected)   -0.02 eV/atom

---

Density functional theory data (PBE) for a relaxed BaCa2Ru crystal.

Cell lengths 8.0474, 8.0474, 8.0035 Å; angles 59.82, 59.82, 90.00 degrees
Last column: nearest neighbours and their distance in Å.
Atoms (fractional coordinates):
1 Ru 0.2500 0.7500 0.5000  4 Ca 2.46
2 Ru 0.5000 0.5000 0.0000  4 Ca 2.46
3 Ca 0.3750 0.1250 0.2500  2 Ru 2.46
4 Ca 0.3750 0.6250 0.2500  2 Ru 2.46
5 Ca 0.3750 0.6250 0.7500  2 Ru 2.46
6 Ca 0.8750 0.6250 0.7500  2 Ru 2.46
7 Ba 0.7500 0.2500 0.5000  12 Ca 4.68-4.71, 4 Ba 4.91, 4 Ru 4.91
8 Ba 0.0000 0.0000 0.0000  12 Ca 4.68-4.71, 4 Ba 4.91, 4 Ru 4.91

Formation enthalpy at 0 K   540 meV/atom

---

Density functional theory data (PBE) for a relaxed YCrAs2Br crystal.

Cell lengths 5.4852, 5.4852, 5.4592 Å; angles 90.00, 90.00, 90.00 degrees
Last column: nearest neighbours and their distance in Å.
Atoms (fractional coordinates):
1 Cr 0.5000 0.5000 0.5000  8 As 3.87, 4 Br 3.88
2 As 0.0000 0.5000 0.0000  2 Y 2.74
3 As 0.5000 0.0000 0.0000  2 Y 2.74
4 Y 0.0000 0.0000 0.0000  2 Br 2.73, 4 As 2.74
5 Br 0.0000 0.0000 0.5000  2 Y 2.73

E_form (uncorrected)   0.30 eV/atom

---

Density functional theory data (PBE) for a relaxed PrHo2Ga crystal.

Cell lengths 3.6234, 3.6234, 10.5275 Å; angles 80.09, 80.09, 60.00 degrees
Last column: nearest neighbours and their distance in Å.
Atoms (fractional coordinates):
1 Ho 0.2642 0.2642 0.2074  3 Ga 2.98
2 Ho 0.0691 0.0691 0.7926  3 Ga 3.00
3 Ga 0.6663 0.6663 0.0012  6 Ho 2.98-3.00
4 Pr 0.5004 0.5004 0.4988  6 Pr 3.62, 6 Ho 3.66-3.68

Formation enthalpy at 0 K   -193 meV/atom

---

Density functional theory data (PBE) for a relaxed Sr3Ce2PrP6 crystal.

Cell lengths 7.3569, 7.3569, 7.3807 Å; angles 99.57, 99.57, 120.03 degrees
Last column: nearest neighbours and their distance in Å.
Atoms (fractional coordinates):
1 Ce 0.6668 0.3332 0.0000  6 P 2.87
2 Ce 0.3332 0.6668 0.0000  6 P 2.87
3 Pr 0.0000 0.0000 0.0000  6 P 2.96
4 P 0.7311 0.7311 0.2217  2 Ce 2.87, 1 Pr 2.96, 3 Sr 3.07-3.14
5 P 0.5831 0.9260 0.7782  2 Ce 2.87, 1 Pr 2.96, 3 Sr 3.09-3.15
6 P 0.2689 0.2689 0.7783  2 Ce 2.87, 1 Pr 2.96, 3 Sr 3.07-3.14
7 P 0.0740 0.4169 0.2218  2 Ce 2.87, 1 Pr 2.96, 3 Sr 3.09-3.15
8 P 0.4169 0.0740 0.2218  2 Ce 2.87, 1 Pr 2.96, 3 Sr 3.09-3.15
9 P 0.9260 0.5831 0.7782  2 Ce 2.87, 1 Pr 2.96, 3 Sr 3.09-3.15
10 Sr 0.1648 0.8352 0.5000  6 P 3.09-3.15
11 Sr 0.8352 0.1648 0.5000  6 P 3.09-3.15
12 Sr 0.5000 0.5000 0.5000  6 P 3.07-3.15

Formation enthalpy at 0 K   -1233 meV/atom

---

Density functional theory data (PBE) for a relaxed ErFe4Os crystal.

Cell lengths 4.9291, 4.9291, 4.9291 Å; angles 60.00, 60.00, 60.00 degrees
Last column: nearest neighbours and their distance in Å.
Atoms (fractional coordinates):
1 Fe 0.6258 0.6258 0.1226  6 Fe 2.45-2.48
2 Fe 0.6258 0.6258 0.6258  6 Fe 2.45-2.48
3 Fe 0.6258 0.1226 0.6258  6 Fe 2.45-2.48
4 Fe 0.1226 0.6258 0.6258  6 Fe 2.45-2.48
5 Os 0.0000 0.0000 0.0000  12 Fe 2.89, 4 Er 3.02
6 Er 0.2500 0.2500 0.2500  12 Fe 2.89, 4 Os 3.02

Formation enthalpy at 0 K   37 meV/atom

---

Density functional theory data (PBE) for a relaxed Dy3Pd4 crystal.

Cell lengths 7.8800, 7.8800, 7.8800 Å; angles 114.27, 114.27, 114.27 degrees
Last column: nearest neighbours and their distance in Å.
Atoms (fractional coordinates):
1 Pd 0.0635 0.5498 0.2286  6 Dy 2.87-3.14, 3 Pd 2.94-3.00
2 Pd 0.0000 0.0000 0.0000  2 Pd 2.88, 6 Dy 2.90
3 Pd 0.7714 0.9365 0.4502  6 Dy 2.87-3.14, 3 Pd 2.94-3.00
4 Pd 0.9365 0.4502 0.7714  6 Dy 2.87-3.14, 3 Pd 2.94-3.00
5 Pd 0.5000 0.5000 0.5000  2 Pd 2.88, 6 Dy 2.98
6 Pd 0.4502 0.7714 0.9365  6 Dy 2.87-3.14, 3 Pd 2.94-3.00
7 Pd 0.5498 0.2286 0.0635  6 Dy 2.87-3.14, 3 Pd 2.94-3.00
8 Pd 0.2286 0.0635 0.5498  6 Dy 2.87-3.14, 3 Pd 2.94-3.00
9 Dy 0.4051 0.0247 0.2758  8 Pd 2.87-3.14
10 Dy 0.5949 0.9753 0.7242  8 Pd 2.87-3.14
11 Dy 0.9753 0.7242 0.5949  8 Pd 2.87-3.14
12 Dy 0.2758 0.4051 0.0247  8 Pd 2.87-3.14
13 Dy 0.0247 0.2758 0.4051  8 Pd 2.87-3.14
14 Dy 0.7242 0.5949 0.9753  8 Pd 2.87-3.14

Formation enthalpy at 0 K   -937 meV/atom

---

Density functional theory data (PBE) for a relaxed ReI crystal.

Cell lengths 8.9313, 5.3255, 9.2035 Å; angles 90.00, 90.00, 90.00 degrees
Last column: nearest neighbours and their distance in Å.
Atoms (fractional coordinates):
1 I 0.2651 0.4943 0.9672  3 Re 2.67-2.80
2 I 0.8699 0.5077 0.7817  2 Re 2.67-2.87
3 I 0.7651 0.0057 0.0328  3 Re 2.67-2.80
4 I 0.2349 0.5057 0.4672  3 Re 2.67-2.80
5 I 0.6301 0.4923 0.2817  2 Re 2.67-2.87
6 I 0.1301 0.0077 0.7183  2 Re 2.67-2.87
7 I 0.3699 0.9923 0.2183  2 Re 2.67-2.87
8 I 0.7349 0.9943 0.5328  3 Re 2.67-2.80
9 Re 0.0983 0.1732 0.2796  2 Re 2.34-2.47
10 Re 0.5983 0.3268 0.7204  2 Re 2.34-2.47
11 Re 0.5217 0.6452 0.5615  2 Re 2.34-2.47
12 Re 0.4783 0.1452 0.9385  2 Re 2.34-2.47
13 Re 0.9017 0.6732 0.2204  2 Re 2.34-2.47
14 Re 0.0217 0.8548 0.4385  2 Re 2.34-2.47
15 Re 0.4017 0.8268 0.7796  2 Re 2.34-2.47
16 Re 0.9783 0.3548 0.0615  2 Re 2.34-2.47

E_form (uncorrected)   0.86 eV/atom

---

Density functional theory data (PBE) for a relaxed ThAg2Pd8 crystal.

Cell lengths 4.0318, 8.0388, 7.6154 Å; angles 121.86, 105.35, 90.00 degrees
Last column: nearest neighbours and their distance in Å.
Atoms (fractional coordinates):
1 Ag 0.1640 0.6640 0.3279  10 Pd 2.78-2.89
2 Ag 0.8360 0.3360 0.6721  10 Pd 2.78-2.89
3 Pd 0.6679 0.4194 0.3359  7 Pd 2.81-2.89, 3 Ag 2.84-2.89, 1 Th 2.89
4 Pd 0.6679 0.9165 0.3359  7 Pd 2.81-2.89, 3 Ag 2.84-2.89, 1 Th 2.89
5 Pd 0.3321 0.5806 0.6641  7 Pd 2.81-2.89, 3 Ag 2.84-2.89, 1 Th 2.89
6 Pd 0.3321 0.0835 0.6641  7 Pd 2.81-2.89, 3 Ag 2.84-2.89, 1 Th 2.89
7 Pd 0.8284 0.8284 0.6568  8 Pd 2.81-2.98, 2 Ag 2.85, 2 Th 2.92
8 Pd 0.0000 0.7376 0.0000  2 Ag 2.78, 6 Pd 2.89-2.98, 2 Th 2.92
9 Pd 0.1716 0.1716 0.3432  8 Pd 2.81-2.98, 2 Ag 2.85, 2 Th 2.92
10 Pd 0.0000 0.2624 0.0000  2 Ag 2.78, 6 Pd 2.89-2.98, 2 Th 2.92
11 Th 0.5000 0.0000 0.0000  12 Pd 2.89-2.92

Formation enthalpy at 0 K   -287 meV/atom

---

Density functional theory data (PBE) for a relaxed BaTlZnPd2 crystal.

Cell lengths 5.2903, 4.9986, 5.2903 Å; angles 90.00, 90.00, 90.00 degrees
Last column: nearest neighbours and their distance in Å.
Atoms (fractional coordinates):
1 Pd 0.0000 0.0000 0.5000  2 Tl 2.65
2 Pd 0.5000 0.0000 0.0000  2 Tl 2.65
3 Zn 0.0000 0.5000 0.0000  2 Tl 2.50
4 Ba 0.5000 0.5000 0.5000  8 Pd 3.64, 4 Zn 3.74
5 Tl 0.0000 0.0000 0.0000  2 Zn 2.50, 4 Pd 2.65

Formation enthalpy at 0 K   4 meV/atom

---

Density functional theory data (PBE) for a relaxed CeDyTlRu crystal.

Cell lengths 3.3901, 3.3901, 8.4088 Å; angles 90.00, 90.00, 90.00 degrees
Last column: nearest neighbours and their distance in Å.
Atoms (fractional coordinates):
1 Ce 0.5000 0.5000 0.7739  4 Ru 2.95
2 Tl 0.0000 0.0000 0.0757  4 Tl 3.39, 4 Dy 3.42, 4 Ce 3.49
3 Ru 0.0000 0.0000 0.5697  4 Dy 2.95, 4 Ce 2.95
4 Dy 0.5000 0.5000 0.3654  4 Ru 2.95

Formation enthalpy at 0 K   -375 meV/atom

---

Density functional theory data (PBE) for a relaxed AsH2S crystal.

Cell lengths 3.8465, 3.8465, 3.8465 Å; angles 60.00, 60.00, 60.00 degrees
Last column: nearest neighbours and their distance in Å.
Atoms (fractional coordinates):
1 H 0.2500 0.2500 0.2500  4 S 2.36, 4 As 2.36
2 H 0.7500 0.7500 0.7500  4 S 2.36, 4 As 2.36
3 As 0.5000 0.5000 0.5000  8 H 2.36
4 S 0.0000 0.0000 0.0000  8 H 2.36

Final energy   -2.906 eV per atom

---

Density functional theory data (PBE) for a relaxed La2SmErHg2 crystal.

Cell lengths 5.1731, 7.2992, 9.6465 Å; angles 90.00, 90.00, 90.00 degrees
Last column: nearest neighbours and their distance in Å.
Atoms (fractional coordinates):
1 La 0.5000 0.5230 0.9418  3 Hg 3.33-3.41, 4 La 3.62-3.67, 1 Er 3.64
2 La 0.5000 0.0230 0.0582  3 Hg 3.33-3.41, 4 La 3.62-3.67, 1 Er 3.64
3 La 0.0000 0.3363 0.1713  4 Hg 3.16-3.26
4 La 0.0000 0.8363 0.8287  4 Hg 3.16-3.26
5 Sm 0.0000 0.4920 0.5562  3 Hg 3.17-3.29
6 Sm 0.0000 0.9920 0.4438  3 Hg 3.17-3.29
7 Hg 0.5000 0.7520 0.6331  2 Er 3.01-3.10, 2 La 3.26, 2 Sm 3.29
8 Hg 0.0000 0.2694 0.8379  2 Er 3.12, 4 La 3.16-3.33, 1 Sm 3.17
9 Hg 0.5000 0.2520 0.3669  2 Er 3.01-3.10, 2 La 3.26, 2 Sm 3.29
10 Hg 0.0000 0.7694 0.1621  2 Er 3.12, 4 La 3.16-3.33, 1 Sm 3.17
11 Er 0.5000 0.6729 0.3270  4 Hg 3.01-3.12
12 Er 0.5000 0.1729 0.6730  4 Hg 3.01-3.12

Formation enthalpy at 0 K   -339 meV/atom

---

Density functional theory data (PBE) for a relaxed Th2CdSn crystal.

Cell lengths 4.1053, 4.1053, 6.8338 Å; angles 90.00, 90.00, 90.00 degrees
Last column: nearest neighbours and their distance in Å.
Atoms (fractional coordinates):
1 Cd 0.5000 0.5000 0.5000  8 Th 3.39, 2 Sn 3.42
2 Th 0.0000 0.0000 0.7570  2 Th 3.32-3.51, 4 Sn 3.34, 4 Cd 3.39
3 Th 0.0000 0.0000 0.2430  2 Th 3.32-3.51, 4 Sn 3.34, 4 Cd 3.39
4 Sn 0.5000 0.5000 0.0000  8 Th 3.34, 2 Cd 3.42

Formation enthalpy at 0 K   -310 meV/atom

---

Density functional theory data (PBE) for a relaxed GaTeHN2 crystal.

Cell lengths 3.7304, 3.7304, 6.3362 Å; angles 90.00, 90.00, 90.00 degrees
Last column: nearest neighbours and their distance in Å.
Atoms (fractional coordinates):
1 N 0.0000 0.5000 0.0000  2 Ga 1.87
2 N 0.5000 0.0000 0.0000  2 Ga 1.87
3 Ga 0.0000 0.0000 0.0000  4 N 1.87
4 H 0.5000 0.5000 0.5000  4 Te 2.64
5 Te 0.0000 0.0000 0.5000  4 H 2.64

Final energy   -3.664 eV per atom